# Ba2Ta3VO12 | Alexandria | PBE with a Hubbard U | optimized geometry
data_Ba2Ta3VO12
_cell_length_a 7.273
_cell_length_b 7.273
_cell_length_c 7.273
_cell_angle_alpha 61.29
_cell_angle_beta 61.29
_cell_angle_gamma 61.29
_space_group_name_H-M_alt 'P 1'
_space_group_IT_number 1
loop_
_space_group_symop_operation_xyz
'x,y,z'
loop_
_atom_site_label
_atom_site_type_symbol
_atom_site_fract_x
_atom_site_fract_y
_atom_site_fract_z
O1 O 0.322 0.322 0.948
Ba1 Ba 0.668 0.668 0.668
O2 O 0.938 0.938 0.303
O3 O 0.303 0.938 0.938
O4 O 0.948 0.322 0.322
O5 O 0.678 0.678 0.052
Ta1 Ta 0.000 0.500 0.000
V1 V 0.000 0.000 0.000
Ta2 Ta 0.000 0.000 0.500
Ba2 Ba 0.332 0.332 0.332
O6 O 0.938 0.303 0.938
O7 O 0.322 0.948 0.322
O8 O 0.062 0.697 0.062
O9 O 0.062 0.062 0.697
Ta3 Ta 0.500 0.000 0.000
O10 O 0.697 0.062 0.062
O11 O 0.678 0.052 0.678
O12 O 0.052 0.678 0.678
# - DFT total energy (eV/atom) = -8.61
# - space group = R-3m (166)
# - M_tot (μB/f.u.) = 0.00